# 1
DFT (PBE) results for a relaxed Er3MgTl3Te8 crystal.

Cell: 8.671 8.671 9.556 Å, 116.93 116.93 60.05°
Fractional positions:
Er  0.000  0.000  0.000
Er  0.000  0.500  0.000
Er  0.500  0.000  0.000
Mg  0.500  0.500  0.000
Tl  0.000  0.500  0.500
Tl  0.500  0.000  0.500
Tl  0.500  0.500  0.500
Te  0.239  0.239  0.216
Te  0.241  0.735  0.210
Te  0.265  0.759  0.790
Te  0.266  0.266  0.790
Te  0.734  0.734  0.210
Te  0.735  0.241  0.210
Te  0.759  0.265  0.790
Te  0.761  0.761  0.784

* E: -4.026 eV per atom
* total magnetization: 0.00 μB/cell

---

# 2
DFT (PBE) results for a relaxed ErMgTlTe3 crystal.

Cell: 9.481 4.476 10.491 Å, 90.00 106.65 90.00°
Fractional positions:
Er  0.170  0.250  0.137
Er  0.830  0.750  0.863
Mg  0.419  0.750  0.391
Mg  0.581  0.250  0.609
Tl  0.294  0.750  0.780
Tl  0.706  0.250  0.220
Te  0.042  0.250  0.837
Te  0.277  0.250  0.460
Te  0.391  0.750  0.121
Te  0.609  0.250  0.879
Te  0.723  0.750  0.540
Te  0.958  0.750  0.163

* E: -3.942 eV per atom
* total magnetization: 0.00 μB/cell

---

# 3
DFT (PBE) results for a relaxed Er2MgTl3Te6 crystal.

Cell: 7.627 7.627 8.366 Å, 98.73 98.73 120.03°
Fractional positions:
Er  0.166  0.834  0.000
Er  0.834  0.166  0.000
Mg  0.500  0.500  0.000
Tl  0.000  0.000  0.500
Tl  0.329  0.671  0.500
Tl  0.671  0.329  0.500
Te  0.102  0.431  0.790
Te  0.243  0.243  0.212
Te  0.431  0.102  0.790
Te  0.569  0.898  0.210
Te  0.757  0.757  0.788
Te  0.898  0.569  0.210

* E: -3.899 eV per atom
* total magnetization: 0.00 μB/cell